# CaCoAsHO5

Crystalline CaCoAsHO5 at its relaxed geometry (PBE+U, the Alexandria database).

**D(E_F)**: 0.0000 states/eV per atom
**Uncorrected energy**: -6.14 eV/atom
**V**: 414 Å³/cell

The structure in CIF format:
```
data_CaCoAsHO5
_space_group_name_H-M_alt 'P 1'
_space_group_IT_number 1
_space_group_name_Hall 'P 1'
_cell_length_a 6.009
_cell_length_b 7.590
_cell_length_c 9.077
_cell_angle_alpha 90.00
_cell_angle_beta 90.00
_cell_angle_gamma 90.00
loop_
_atom_site_label
_atom_site_type_symbol
_atom_site_fract_x
_atom_site_fract_y
_atom_site_fract_z
Ca1 Ca 0.023 0.128 0.328
Ca2 Ca 0.477 0.872 0.828
Ca3 Ca 0.523 0.372 0.672
Ca4 Ca 0.977 0.628 0.172
Co1 Co 0.244 0.259 0.994
Co2 Co 0.256 0.741 0.494
Co3 Co 0.744 0.241 0.006
Co4 Co 0.756 0.759 0.506
As1 As 0.017 0.623 0.823
As2 As 0.483 0.377 0.323
As3 As 0.517 0.877 0.177
As4 As 0.983 0.123 0.677
H1 H 0.017 0.989 0.022
H2 H 0.483 0.011 0.522
H3 H 0.517 0.511 0.978
H4 H 0.983 0.489 0.478
O1 O 0.005 0.104 0.073
O2 O 0.010 0.946 0.556
O3 O 0.090 0.792 0.940
O4 O 0.233 0.150 0.770
O5 O 0.245 0.607 0.707
O6 O 0.255 0.393 0.207
O7 O 0.267 0.850 0.270
O8 O 0.410 0.208 0.440
O9 O 0.490 0.054 0.056
O10 O 0.495 0.896 0.573
O11 O 0.505 0.396 0.927
O12 O 0.510 0.554 0.444
O13 O 0.590 0.708 0.060
O14 O 0.733 0.350 0.230
O15 O 0.745 0.893 0.293
O16 O 0.755 0.107 0.793
O17 O 0.767 0.650 0.730
O18 O 0.910 0.292 0.560
O19 O 0.990 0.446 0.944
O20 O 0.995 0.604 0.427
```